# 1
Below is a geometry-optimized HgSbRh structure, with properties calculated at the PBE level.

extended XYZ file:
```
3
Lattice="-4.5809 -0.2797 5.0410 -4.0096 3.9864 3.8087 2.6521 -2.0681 -5.9299" Properties=species:S:1:pos:R:3 pbc="T T T"
Hg -8.3744 3.6135 8.6271
Sb -6.0297 2.6018 6.2117
Rh -2.7768 1.1982 2.8606
```

## Properties
Symmetry = I4mm, No. 107
Energy above the lowest structure with this stoichiometry = 0.0 meV per atom

***

# 2
Below is a geometry-optimized ReSi2Sb structure, with properties calculated at the PBE level.

extended XYZ file:
```
4
Lattice="3.0914 0.0019 0.0000 -0.0016 3.0914 0.0000 0.0000 0.0000 7.1532" Properties=species:S:1:pos:R:3 pbc="T T T"
Re 1.5449 1.5467 1.7883
Sb 1.5449 1.5467 5.3649
Si 0.0000 0.0000 0.4389
Si 0.0000 0.0000 3.1377
```

## Properties
Symmetry = P4/mmm, No. 123

***

no.,Fermi-level density of states (states/eV per atom),formation energy from raw total energies (eV/atom)
1,0.4389,-0.105
2,0.4308,0.163